# Be2SiPb PBEsol optimized geometry
# VASP energy = -3.648 eV/atom
# spin magnetization = 0.0 μB per formula unit
data_Be2SiPb
_symmetry_space_group_name_H-M 'P 1'
_symmetry_Int_Tables_number 1
_cell_length_a 4.167
_cell_length_b 4.685
_cell_length_c 4.167
_cell_angle_alpha 63.59
_cell_angle_beta 90.00
_cell_angle_gamma 116.41
loop_
_symmetry_equiv_pos_as_xyz
'x,y,z'
loop_
_atom_site_label
_atom_site_type_symbol
_atom_site_fract_x
_atom_site_fract_y
_atom_site_fract_z
Pb1 Pb 0.500 0.000 0.500
Be1 Be 0.250 0.500 0.250
Be2 Be 0.750 0.500 0.750
Si1 Si 0.000 0.000 0.000

# ZnTeMo2 PBEsol optimized geometry
# VASP energy = -6.743 eV/atom
# spin magnetization = 0.0 μB per formula unit
data_ZnTeMo2
_symmetry_space_group_name_H-M 'P 1'
_symmetry_Int_Tables_number 1
_cell_length_a 3.266
_cell_length_b 4.434
_cell_length_c 4.434
_cell_angle_alpha 90.00
_cell_angle_beta 90.00
_cell_angle_gamma 90.00
loop_
_symmetry_equiv_pos_as_xyz
'x,y,z'
loop_
_atom_site_label
_atom_site_type_symbol
_atom_site_fract_x
_atom_site_fract_y
_atom_site_fract_z
Mo1 Mo 0.000 0.000 0.500
Mo2 Mo 0.000 0.500 0.000
Te1 Te 0.500 0.500 0.500
Zn1 Zn 0.500 0.000 0.000

Polymorph energy (0 for the lowest one) / eV per atom: 0.226; 0.000
Formation energy from raw total energies / meV per atom: 788.4; 417.7
Ρ / Mg/m³: 6.65; 9.95